# 1
This record from Alexandria describes an optimized crystal structure of LiMnW2. The functional is PBE.

Cell: 3.6300 3.6300 8.3285 Å, 90.00 90.00 90.00°
With the nearest neighbours (Å) after each atom.
Element x y z (fractional)
Li: 0.0000 0.0000 0.0000  8 W 2.57-2.76, 4 Mn 2.76
Li: 0.5000 0.5000 0.5000  8 W 2.57-2.76, 4 Mn 2.76
Mn: 0.0000 0.5000 0.7500  8 W 2.57-2.76, 4 Li 2.76
Mn: 0.5000 0.0000 0.2500  8 W 2.57-2.76, 4 Li 2.76
W: 0.0000 0.0000 0.5000  4 Li 2.57, 4 Mn 2.76, 4 W 2.76
W: 0.0000 0.5000 0.2500  4 Mn 2.57, 4 W 2.76, 4 Li 2.76
W: 0.5000 0.0000 0.7500  4 Mn 2.57, 4 W 2.76, 4 Li 2.76
W: 0.5000 0.5000 0.0000  4 Li 2.57, 4 Mn 2.76, 4 W 2.76

The calculated formation energy is 0.516 eV/atom. The space group is I-4m2 (119). For the total energy, the calculation gives -34.93 eV per formula unit. Its theoretical density is 13.0 g/cm3. For the density of states at the Fermi level, the calculation gives 7.20 states/eV per cell.


# 2
This record from Alexandria describes an optimized crystal structure of YGaH3. The functional is PBE.

Cell: 4.1446 4.1446 4.1446 Å, 90.00 90.00 90.00°
With the nearest neighbours (Å) after each atom.
Element x y z (fractional)
Y: 0.0000 0.0000 0.0000  6 H 2.07
Ga: 0.5000 0.5000 0.5000  12 H 2.93
H: 0.0000 0.0000 0.5000  2 Y 2.07
H: 0.0000 0.5000 0.0000  2 Y 2.07
H: 0.5000 0.0000 0.0000  2 Y 2.07

The space group is Pm-3m (221). For the total energy, the calculation gives -20.04 eV per formula unit. Its theoretical density is 3.8 g/cm3. For the density of states at the Fermi level, the calculation gives 1.12 states/eV per cell.


# 3
This record from Alexandria describes an optimized crystal structure of Mg2IrBr. The functional is PBE.

Cell: 3.8823 3.8823 10.1496 Å, 90.00 90.00 90.00°
With the nearest neighbours (Å) after each atom.
Element x y z (fractional)
Mg: 0.0000 0.0000 0.0000  4 Ir 2.75
Mg: 0.0000 0.5000 0.2500  4 Br 2.75
Mg: 0.5000 0.0000 0.7500  4 Br 2.75
Mg: 0.5000 0.5000 0.5000  4 Ir 2.75
Ir: 0.0000 0.0000 0.5000  4 Mg 2.75
Ir: 0.5000 0.5000 0.0000  4 Mg 2.75
Br: 0.0000 0.5000 0.7500  4 Mg 2.75
Br: 0.5000 0.0000 0.2500  4 Mg 2.75

The space group is I-4m2 (119). For the total energy, the calculation gives -13.49 eV per formula unit. Its theoretical density is 7.0 g/cm3. For the density of states at the Fermi level, the calculation gives 3.12 states/eV per cell.


# 4
This record from Alexandria describes an optimized crystal structure of SrSbNF2. The functional is PBE.

Cell: 4.5886 4.5886 4.3619 Å, 90.00 90.00 90.00°
With the nearest neighbours (Å) after each atom.
Element x y z (fractional)
Sr: 0.0000 0.0000 0.0000  8 F 3.17, 4 N 3.24
Sb: 0.5000 0.5000 0.5000  2 N 2.18, 4 F 2.29
N: 0.5000 0.5000 0.0000  2 Sb 2.18
F: 0.0000 0.5000 0.5000  2 Sb 2.29
F: 0.5000 0.0000 0.5000  2 Sb 2.29

The space group is P4/mmm (123). For the total energy, the calculation gives -24.64 eV per formula unit. Its theoretical density is 4.7 g/cm3. For the density of states at the Fermi level, the calculation gives 0.68 states/eV per cell.


# 5
This record from Alexandria describes an optimized crystal structure of PH4S. The functional is PBE.

Cell: 6.9392 6.9392 4.6841 Å, 106.14 106.14 55.37°
With the nearest neighbours (Å) after each atom.
Element x y z (fractional)
P: 0.2000 0.2000 0.1158  3 H 1.42
P: 0.8000 0.8000 0.8842  3 H 1.42
H: 0.0455 0.7012 0.8937  1 P 1.42
H: 0.0586 0.9414 0.5000  1 H 0.76
H: 0.2110 0.2110 0.8222  1 P 1.42
H: 0.2988 0.9545 0.1063  1 P 1.42
H: 0.7012 0.0455 0.8937  1 P 1.42
H: 0.7890 0.7890 0.1778  1 P 1.42
H: 0.9414 0.0586 0.5000  1 H 0.76
H: 0.9545 0.2988 0.1063  1 P 1.42
S: 0.3463 0.3463 0.4425  1 P 1.96
S: 0.6537 0.6537 0.5575  1 P 1.96

The space group is C2/m (12). For the total energy, the calculation gives -23.33 eV per formula unit. Its theoretical density is 1.3 g/cm3. For the density of states at the Fermi level, the calculation gives 0.00 states/eV per cell.


# 6
This record from Alexandria describes an optimized crystal structure of LaAgIr. The functional is PBE.

Cell: 10.0442 5.5813 5.2601 Å, 90.00 118.50 90.00°
With the nearest neighbours (Å) after each atom.
Element x y z (fractional)
La: 0.1220 0.0000 0.3725  3 Ir 2.87-2.93, 2 Ag 3.14
La: 0.3780 0.5000 0.6275  3 Ir 2.87-2.93, 2 Ag 3.14
La: 0.6220 0.5000 0.3725  3 Ir 2.87-2.93, 2 Ag 3.14
La: 0.8780 0.0000 0.6275  3 Ir 2.87-2.93, 2 Ag 3.14
Ag: 0.2500 0.2500 0.0000  2 Ag 2.79, 2 Ir 2.97
Ag: 0.2500 0.7500 0.0000  2 Ag 2.79, 2 Ir 2.97
Ag: 0.7500 0.2500 0.0000  2 Ag 2.79, 2 Ir 2.97
Ag: 0.7500 0.7500 0.0000  2 Ag 2.79, 2 Ir 2.97
Ir: 0.0470 0.5000 0.2928  2 Ir 2.76, 3 La 2.87-2.93, 2 Ag 2.97
Ir: 0.4530 0.0000 0.7072  2 Ir 2.76, 3 La 2.87-2.93, 2 Ag 2.97
Ir: 0.5470 0.0000 0.2928  2 Ir 2.76, 3 La 2.87-2.93, 2 Ag 2.97
Ir: 0.9530 0.5000 0.7072  2 Ir 2.76, 3 La 2.87-2.93, 2 Ag 2.97

The calculated formation energy is -0.188 eV/atom. The space group is C2/m (12). For the total energy, the calculation gives -17.20 eV per formula unit. Its theoretical density is 11.3 g/cm3. For the density of states at the Fermi level, the calculation gives 6.13 states/eV per cell.


# 7
This record from Alexandria describes an optimized crystal structure of Zn2CuW. The functional is PBE.

Cell: 4.4176 4.4176 2.9330 Å, 90.00 90.00 90.00°
With the nearest neighbours (Å) after each atom.
Element x y z (fractional)
Zn: 0.0000 0.5000 0.0000  4 W 2.65, 4 Cu 2.65, 2 Zn 2.93
Zn: 0.5000 0.0000 0.0000  4 W 2.65, 4 Cu 2.65, 2 Zn 2.93
Cu: 0.0000 0.0000 0.5000  8 Zn 2.65, 2 Cu 2.93
W: 0.5000 0.5000 0.5000  8 Zn 2.65, 2 W 2.93

The calculated formation energy is 0.295 eV/atom. The space group is P4/mmm (123). For the total energy, the calculation gives -18.42 eV per formula unit. Its theoretical density is 11.0 g/cm3. For the density of states at the Fermi level, the calculation gives 1.65 states/eV per cell.


# 8
This record from Alexandria describes an optimized crystal structure of CaLaTe2. The functional is PBE.

Cell: 4.4506 4.4506 15.5397 Å, 90.00 90.00 120.00°
With the nearest neighbours (Å) after each atom.
Element x y z (fractional)
Ca: 0.0000 0.0000 0.0000  6 Te 3.17
Ca: 0.0000 0.0000 0.5000  6 Te 3.17
La: 0.3333 0.6667 0.2500  6 Te 3.28
La: 0.6667 0.3333 0.7500  6 Te 3.28
Te: 0.3333 0.6667 0.6191  3 Ca 3.17, 3 La 3.28
Te: 0.3333 0.6667 0.8809  3 Ca 3.17, 3 La 3.28
Te: 0.6667 0.3333 0.1191  3 Ca 3.17, 3 La 3.28
Te: 0.6667 0.3333 0.3809  3 Ca 3.17, 3 La 3.28

The space group is P6_3/mmc (194). For the total energy, the calculation gives -19.49 eV per formula unit. Its theoretical density is 5.4 g/cm3. For the density of states at the Fermi level, the calculation gives 4.02 states/eV per cell.